# PBE with a Hubbard U Rb7VSiO8, relaxed
# total DFT energy (no corrections): -5.431 eV/atom
data_Rb7VSiO8
_cell_length_a 6.529
_cell_length_b 10.559
_cell_length_c 21.083
_cell_angle_alpha 90.00
_cell_angle_beta 93.63
_cell_angle_gamma 90.00
_symmetry_space_group_name_H-M 'P 1 c 1'
_symmetry_Int_Tables_number 7
loop_
_symmetry_equiv_pos_as_xyz
'x,y,z'
'x,-y,z+1/2'
loop_
_atom_site_label
_atom_site_type_symbol
_atom_site_fract_x
_atom_site_fract_y
_atom_site_fract_z
_atom_site_occupancy
Rb1 Rb 0.000 0.050 0.000 1
Rb2 Rb 0.003 0.361 0.341 1
Rb3 Rb 0.101 0.263 0.165 1
Rb4 Rb 0.119 0.419 0.994 1
Rb5 Rb 0.319 0.086 0.761 1
Rb6 Rb 0.339 0.252 0.594 1
Rb7 Rb 0.428 0.137 0.400 1
Rb8 Rb 0.445 0.449 0.737 1
Rb9 Rb 0.494 0.182 0.918 1
Rb10 Rb 0.634 0.427 0.071 1
Rb11 Rb 0.642 0.202 0.243 1
Rb12 Rb 0.807 0.277 0.511 1
Rb13 Rb 0.824 0.087 0.687 1
Rb14 Rb 0.942 0.305 0.824 1
V1 V 0.507 0.473 0.402 1
V2 V 0.508 0.095 0.081 1
Si1 Si 0.938 0.031 0.347 1
Si2 Si 0.939 0.404 0.668 1
O1 O 0.028 0.109 0.285 1
O2 O 0.041 0.464 0.603 1
O3 O 0.094 0.292 0.700 1
O4 O 0.107 0.078 0.874 1
O5 O 0.326 0.413 0.876 1
O6 O 0.348 0.215 0.048 1
O7 O 0.403 0.034 0.148 1
O8 O 0.417 0.390 0.467 1
O9 O 0.535 0.369 0.339 1
O10 O 0.536 0.026 0.525 1
O11 O 0.711 0.339 0.645 1
O12 O 0.714 0.037 0.822 1
O13 O 0.740 0.453 0.926 1
O14 O 0.749 0.161 0.102 1
O15 O 0.902 0.132 0.406 1
O16 O 0.902 0.480 0.220 1